Record 1
! GGA-PBE Li2MgHg5, relaxed; values from VASP
! Energy above the lowest structure with this stoichiometry = 14 meV/atom
&SYSTEM
  ibrav = 0, nat = 16, ntyp = 3
/
ATOMIC_SPECIES
Li 6.94 Li.upf
Mg 24.30 Mg.upf
Hg 200.59 Hg.upf
CELL_PARAMETERS angstrom
7.771 0.000 0.000
0.000 7.771 0.000
-3.886 -3.886 5.658
ATOMIC_POSITIONS crystal
Li 0.144 0.356 0.000
Li 0.644 0.144 0.000
Li 0.356 0.856 0.000
Li 0.856 0.644 0.000
Mg 0.750 0.750 0.500
Mg 0.250 0.250 0.500
Hg 0.498 0.692 0.689
Hg 0.808 0.002 0.311
Hg 0.000 0.000 0.000
Hg 0.500 0.500 0.000
Hg 0.192 0.998 0.689
Hg 0.692 0.192 0.689
Hg 0.998 0.498 0.689
Hg 0.308 0.808 0.311
Hg 0.002 0.502 0.311
Hg 0.502 0.308 0.311

=====

Record 2
DFT (GGA-PBE) results for a relaxed LiMg6Hg2 crystal. Values from VASP.

Geometry as Quantum ESPRESSO input:
```
&SYSTEM
  ibrav = 0, nat = 9, ntyp = 3
/
ATOMIC_SPECIES
Li 6.94 Li.upf
Mg 24.30 Mg.upf
Hg 200.59 Hg.upf
CELL_PARAMETERS angstrom
4.934 0.000 0.000
-2.467 4.271 0.005
0.000 -0.013 9.025
ATOMIC_POSITIONS crystal
Li 0.000 0.000 0.500
Mg 0.667 0.333 0.970
Mg 0.333 0.667 0.030
Mg 0.000 0.000 0.173
Mg 0.333 0.667 0.380
Mg 0.000 0.000 0.827
Mg 0.667 0.333 0.620
Hg 0.333 0.666 0.702
Hg 0.667 0.334 0.298
```

=====

Record 3
! GGA-PBE Li5MgHg, relaxed; values from VASP
! Energy above the lowest structure with this stoichiometry = 52 meV/atom
&SYSTEM
  ibrav = 0, nat = 7, ntyp = 3
/
ATOMIC_SPECIES
Li 6.94 Li.upf
Mg 24.30 Mg.upf
Hg 200.59 Hg.upf
CELL_PARAMETERS angstrom
3.909 0.654 0.000
-0.654 3.909 0.000
0.000 0.000 9.084
ATOMIC_POSITIONS crystal
Li 0.500 0.000 0.261
Li 0.000 0.500 0.261
Li 0.000 0.000 0.500
Li 0.000 0.500 0.739
Li 0.500 0.000 0.739
Mg 0.000 0.000 0.000
Hg 0.500 0.500 0.500

=====

Record 4
DFT (GGA-PBE) results for a relaxed LiMgHg2 crystal. Values from VASP.

Geometry as Quantum ESPRESSO input:
```
&SYSTEM
  ibrav = 0, nat = 4, ntyp = 3
/
ATOMIC_SPECIES
Mg 24.30 Mg.upf
Hg 200.59 Hg.upf
Li 6.94 Li.upf
CELL_PARAMETERS angstrom
-3.059 -1.446 0.042
1.285 -2.675 1.498
0.002 0.219 7.767
ATOMIC_POSITIONS crystal
Mg 0.500 0.750 0.750
Hg 0.000 0.981 0.019
Hg 0.000 0.519 0.481
Li 0.500 0.250 0.250
```

=====

Record 5
! GGA-PBE Li3Mg2Hg2, relaxed; values from VASP
! Energy above the lowest structure with this stoichiometry = 0 meV/atom
&SYSTEM
  ibrav = 0, nat = 7, ntyp = 3
/
ATOMIC_SPECIES
Li 6.94 Li.upf
Mg 24.30 Mg.upf
Hg 200.59 Hg.upf
CELL_PARAMETERS angstrom
4.517 -0.037 -1.464
-2.480 4.050 0.007
-0.163 -0.022 7.391
ATOMIC_POSITIONS crystal
Li 0.000 0.000 0.000
Li 0.718 0.860 0.578
Li 0.282 0.140 0.422
Mg 0.430 0.714 0.144
Mg 0.570 0.286 0.856
Hg 0.144 0.574 0.719
Hg 0.856 0.426 0.281

=====

Record 6
! GGA-PBE Li6MgHg, relaxed; values from VASP
! Energy above the lowest structure with this stoichiometry = 0 meV/atom
&SYSTEM
  ibrav = 0, nat = 8, ntyp = 3
/
ATOMIC_SPECIES
Li 6.94 Li.upf
Mg 24.30 Mg.upf
Hg 200.59 Hg.upf
CELL_PARAMETERS angstrom
-3.247 -2.101 -2.952
2.804 -4.175 -0.112
-3.030 -2.166 4.875
ATOMIC_POSITIONS crystal
Li 0.500 0.817 0.266
Li 0.000 0.189 0.735
Li 0.000 0.189 0.265
Li 0.500 0.817 0.734
Li 0.000 0.666 0.500
Li 0.500 0.308 0.000
Mg 0.000 0.693 0.000
Hg 0.500 0.321 0.500

=====

| no. | formation energy from the elements (kJ/mol of formula units) | N(E_F) (states/eV/cell) | theoretical density (g cm⁻³) |
| --- | --- | --- | --- |
| 1 | -169.0 | 5.9 | 10.12 |
| 2 | -132.4 | 2.0 | 4.84 |
| 3 | -52.7 | 4.2 | 3.02 |
| 4 | -118.9 | 1.3 | 9.09 |
| 5 | -185.9 | 2.6 | 5.85 |
| 6 | -111.1 | 3.7 | 2.95 |